Li2AlHg2: relaxed, GGA-PBEsol.

a = 3.645 Å, b = 3.645 Å, c = 7.455 Å
α = 104.15°, β = 104.15°, γ = 90.00°
Atoms (fractional coordinates):
Li  0.250  0.750  0.500
Li  0.750  0.250  0.500
Hg  0.393  0.393  0.786
Hg  0.607  0.607  0.214
Al  0.000  0.000  0.000

Calculated values
distance to the lowest polymorph of the same formula	0.146	eV/atom
space group	I4/mmm (139)

Li2Al2Hg: relaxed, GGA-PBEsol.

a = 3.228 Å, b = 7.259 Å, c = 7.259 Å
α = 90.00°, β = 90.00°, γ = 90.00°
Atoms (fractional coordinates):
Li  0.000  0.344  0.844
Li  0.000  0.844  0.656
Li  0.000  0.656  0.156
Li  0.000  0.156  0.344
Hg  0.000  0.000  0.000
Hg  0.000  0.500  0.500
Al  0.500  0.141  0.641
Al  0.500  0.641  0.859
Al  0.500  0.859  0.359
Al  0.500  0.359  0.141

Calculated values
space group	P4/mbm (127)

LiAlHg2: relaxed, GGA-PBEsol.

a = 3.630 Å, b = 4.484 Å, c = 4.484 Å
α = 90.00°, β = 90.00°, γ = 90.00°
Atoms (fractional coordinates):
Al  0.500  0.000  0.000
Hg  0.000  0.000  0.500
Hg  0.000  0.500  0.000
Li  0.500  0.500  0.500

Calculated values
space group	P4/mmm (123)

Li2AlHg2: relaxed, GGA-PBEsol.

a = 3.272 Å, b = 7.376 Å, c = 7.376 Å
α = 90.00°, β = 90.00°, γ = 90.00°
Atoms (fractional coordinates):
Li  0.500  0.155  0.655
Li  0.500  0.655  0.845
Li  0.500  0.845  0.345
Li  0.500  0.345  0.155
Hg  0.000  0.355  0.855
Hg  0.000  0.855  0.645
Hg  0.000  0.645  0.145
Hg  0.000  0.145  0.355
Al  0.000  0.000  0.000
Al  0.000  0.500  0.500

Calculated values
distance to the lowest polymorph of the same formula	0.000	eV/atom
space group	P4/mbm (127)

LiAl2Hg: relaxed, GGA-PBEsol.

a = 3.073 Å, b = 3.942 Å, c = 5.657 Å
α = 90.00°, β = 90.00°, γ = 90.00°
Atoms (fractional coordinates):
Al  0.000  0.000  0.005
Al  0.500  0.500  0.233
Hg  0.000  0.000  0.516
Li  0.500  0.500  0.746

Calculated values
space group	Pmm2 (25)

Li2AlHg2: relaxed, GGA-PBEsol.

a = 3.308 Å, b = 7.255 Å, c = 7.255 Å
α = 90.00°, β = 90.00°, γ = 90.00°
Atoms (fractional coordinates):
Li  0.000  0.365  0.865
Li  0.000  0.865  0.635
Li  0.000  0.635  0.135
Li  0.000  0.135  0.365
Hg  0.500  0.161  0.661
Hg  0.500  0.661  0.839
Hg  0.500  0.839  0.339
Hg  0.500  0.339  0.161
Al  0.000  0.000  0.000
Al  0.000  0.500  0.500

Calculated values
distance to the lowest polymorph of the same formula	0.073	eV/atom
space group	P4/mbm (127)

Which ΔH_f (0 K) belongs to each record? In order, -0.1139, 0.0151, -0.1996, -0.2594, -0.1307, -0.1865 eV/atom.